1.
The following is a GGA-PBE calculation of a relaxed MnTlIBr2 crystal, from Alexandria via LeMat-Bulk.

abc: 5.301 5.301 5.862
angles: 90.00 90.00 90.00
Fractional positions:
I 0.000 0.000 0.500
Br 0.000 0.500 0.000
Br 0.500 0.000 0.000
Tl 0.500 0.500 0.500
Mn 0.000 0.000 0.000

Results
Crystal system: tetragonal
Energy relative to the lowest polymorph listed for this composition (meV/atom): 54
Uncorrected formation energy (eV/atom): -0.646

=====

2.
The following is a GGA-PBE calculation of a relaxed MnTlIBr2 crystal, from Alexandria via LeMat-Bulk.

abc: 5.718 8.224 9.306
angles: 105.92 90.00 90.00
Fractional positions:
Br 0.750 0.956 0.875
Br 0.250 0.044 0.125
Br 0.750 0.919 0.348
Br 0.250 0.081 0.652
Mn 0.250 0.923 0.844
Mn 0.750 0.077 0.156
Tl 0.250 0.710 0.375
Tl 0.750 0.290 0.625
I 0.750 0.411 0.291
I 0.250 0.589 0.709

Results
N(E_F) (states/eV per cell): 0.00
Crystal system: monoclinic
Energy relative to the lowest polymorph listed for this composition (meV/atom): 0
Uncorrected formation energy (eV/atom): -0.701